## i
Density functional theory data (SCAN) for a PBEsol-optimized structure of KGa3Rh.

Properties
symmetry	No. 221
size of the total moment	0.00	μB/cell

Cell and atoms, written as POSCAR:
```
KGa3Rh
1.0
-4.568 -1.206 -0.842
0.100 -2.994 3.749
-1.467 3.551 2.875
K Rh Ga
1 1 3
Cartesian
-2.968 -0.324 2.891
0.000 0.000 0.000
0.050 -1.497 1.874
-0.734 1.776 1.437
-2.284 -0.603 -0.421
```

## ii
Density functional theory data (SCAN) for a PBEsol-optimized structure of KGa3Rh.

Properties
symmetry	No. 221
size of the total moment	0.56	μB/cell

Cell and atoms, written as POSCAR:
```
KGa3Rh
1.0
5.130 0.000 0.000
0.000 5.130 0.000
0.000 0.000 5.130
K Rh Ga
1 1 3
Cartesian
0.000 0.000 0.000
2.565 2.565 2.565
0.000 2.565 0.000
0.000 0.000 2.565
2.565 0.000 0.000
```

Least stable structure: ii

## i
Density functional theory data (SCAN) for a PBEsol-optimized structure of LaGa2Pd2.

Properties
symmetry	No. 139
size of the total moment	0.00	μB/cell

Cell and atoms, written as POSCAR:
```
LaGa2Pd2
1.0
4.257 -0.001 -0.001
-0.001 4.257 -0.001
-2.129 -2.129 5.315
Pd Ga La
2 2 1
Cartesian
-0.001 -0.001 3.993
2.128 2.128 1.321
-0.001 2.128 2.657
2.128 -0.001 2.657
4.256 4.256 -0.001
```

## ii
Density functional theory data (SCAN) for a PBEsol-optimized structure of LaGa2Pd2.

Properties
symmetry	No. 129
size of the total moment	0.00	μB/cell

Cell and atoms, written as POSCAR:
```
LaGa2Pd2
1.0
-0.330 -3.996 -1.727
3.291 -1.363 2.524
-6.517 -2.540 7.125
La Ga Pd
2 4 4
Cartesian
0.016 -1.317 3.045
-5.052 -3.903 4.480
-3.258 -1.270 3.563
-1.778 -3.949 3.962
-4.058 -2.905 7.499
-0.978 -2.315 0.025
0.000 0.000 0.000
1.481 -2.680 0.399
-2.449 -2.277 5.739
-2.587 -2.942 1.785
```

Least stable structure: i

## i
Density functional theory data (SCAN) for a PBEsol-optimized structure of LaSc2Ga2.

Properties
symmetry	No. 139
size of the total moment	0.00	μB/cell

Cell and atoms, written as POSCAR:
```
LaSc2Ga2
1.0
-0.868 0.327 4.578
2.053 -4.139 0.685
4.298 4.454 -1.887
Sc Ga La
2 2 1
Cartesian
3.532 1.841 0.538
1.950 -1.198 2.838
3.471 -0.795 0.715
2.011 1.438 2.661
0.000 0.000 0.000
```

## ii
Density functional theory data (SCAN) for a PBEsol-optimized structure of LaSc2Ga2.

Properties
symmetry	No. 139
size of the total moment	0.00	μB/cell

Cell and atoms, written as POSCAR:
```
LaSc2Ga2
1.0
4.374 0.000 0.000
0.000 4.374 0.000
-2.187 -2.187 6.081
Sc Ga La
2 2 1
Cartesian
0.000 2.187 3.041
2.187 0.000 3.041
0.000 0.000 4.837
2.187 2.187 1.244
0.000 0.000 0.000
```

Least stable structure: i

## i
Density functional theory data (SCAN) for a PBEsol-optimized structure of La2Zn2Ga.

Properties
symmetry	No. 127
size of the total moment	0.00	μB/cell

Cell and atoms, written as POSCAR:
```
La2Zn2Ga
1.0
4.734 0.000 0.000
0.000 6.936 0.000
0.000 0.000 6.936
Zn Ga La
4 2 4
Cartesian
0.000 2.568 6.037
0.000 6.037 4.368
0.000 4.368 0.900
0.000 0.900 2.568
0.000 0.000 0.000
0.000 3.468 3.468
2.367 1.210 4.678
2.367 4.678 5.726
2.367 5.726 2.258
2.367 2.258 1.210
```

## ii
Density functional theory data (SCAN) for a PBEsol-optimized structure of La2Zn2Ga.

Properties
symmetry	No. 139
size of the total moment	0.00	μB/cell

Cell and atoms, written as POSCAR:
```
La2Zn2Ga
1.0
-1.592 -0.788 -3.088
3.184 -0.547 -1.502
-1.173 -8.456 4.818
Zn Ga La
2 1 2
Cartesian
1.404 -4.835 0.510
-0.985 -4.956 -0.283
0.000 0.000 0.000
-0.300 -7.266 2.009
0.719 -2.525 -1.782
```

Least stable structure: ii